DFT (PBE-GGA) results for an optimized crystal structure of BaTlCo2.

Calculated values
calculated volume: 86.6 Å³/cell
N(E_F): 3.33 states/eV/atom
formation energy from the elements: 0.749 eV/atom
uncorrected energy: -15.50 eV/cell

a = 4.9652 Å, b = 4.9652 Å, c = 4.9652 Å
α = 60.00°, β = 60.00°, γ = 60.00°
With the nearest neighbours (Å) after each atom.
Fractional positions:
Ba (0.0000, 0.0000, 0.0000)  8 Co 3.04
Tl (0.5000, 0.5000, 0.5000)  8 Co 3.04
Co (0.2500, 0.2500, 0.2500)  4 Ba 3.04, 4 Tl 3.04
Co (0.7500, 0.7500, 0.7500)  4 Ba 3.04, 4 Tl 3.04